Entry from Alexandria: an optimized crystal structure of CaCrSe2 (PBE).

Results
The calculation puts the total energy at -5.546 eV/atom. As for the symmetry: Immm, No. 71. The crystal system is orthorhombic. The raw formation energy is -3.6 eV per formula unit. For the density of states at the Fermi level, the calculation gives 0.07 states/eV per cell.

Cell and atoms, written as extended XYZ:
```
4
Lattice="5.3150 -0.0662 0.0554 0.0085 5.3217 -0.0585 -1.4889 -3.8202 3.3931" Properties=species:S:1:pos:R:3 pbc="T T T"
Cr 0.5907 2.0646 1.6665
Ca 3.2439 -0.6293 1.7235
Se 0.1869 0.1841 0.0001
Se 0.9860 -1.3765 3.3915
```

***

Entry from Alexandria: an optimized crystal structure of CaCrSe (PBE).

Results
The calculation puts the total energy at -5.327 eV/atom. As for the symmetry: F-43m, No. 216. The crystal system is cubic. The raw formation energy is -0.9 eV per formula unit. For the density of states at the Fermi level, the calculation gives 1.17 states/eV per cell.

Cell and atoms, written as extended XYZ:
```
3
Lattice="-0.3830 -4.6752 0.1479 3.3978 -2.6909 -1.8000 2.7755 -2.4929 2.8475" Properties=species:S:1:pos:R:3 pbc="T T T"
Cr 2.8951 -4.9295 0.5977
Ca 0.0000 0.0000 0.0000
Se 4.3427 -7.3942 0.8965
```

***

Entry from Alexandria: an optimized crystal structure of CaTiCr2Se6 (PBE).

Results
The calculation puts the total energy at -5.872 eV/atom. As for the symmetry: R3, No. 146. The crystal system is trigonal. The raw formation energy is -8.7 eV per formula unit. For the density of states at the Fermi level, the calculation gives 0.95 states/eV per cell.

Cell and atoms, written as extended XYZ:
```
10
Lattice="6.6336 -0.0028 -0.0034 3.3176 5.7458 -0.0058 3.3181 1.9153 5.9129" Properties=species:S:1:pos:R:3 pbc="T T T"
Ca 9.9521 5.7433 3.3292
Ti 3.3170 1.9137 0.2482
Cr 6.6344 3.8297 2.7673
Cr 3.3179 1.9152 5.7839
Se 5.6106 1.9046 1.3643
Se 5.4812 5.6782 1.3608
Se 8.8109 3.9036 1.3593
Se 7.3641 5.6490 4.4661
Se 7.8466 2.2887 4.4657
Se 4.6944 3.5511 4.4671
```

***

Entry from Alexandria: an optimized crystal structure of Ca2CrSi (PBE).

Results
The calculation puts the total energy at -4.257 eV/atom. As for the symmetry: I-42d, No. 122. The crystal system is tetragonal. The raw formation energy is 2.0 eV per formula unit. For the density of states at the Fermi level, the calculation gives 5.90 states/eV per cell.

Cell and atoms, written as extended XYZ:
```
8
Lattice="8.2636 0.0000 0.0000 0.0000 8.2636 0.0000 4.1318 4.1318 3.1563" Properties=species:S:1:pos:R:3 pbc="T T T"
Cr 0.0000 0.0000 0.0000
Cr 8.2636 4.1318 1.5782
Ca 5.9681 2.0659 0.7891
Ca 2.2955 6.1977 0.7891
Ca 6.1977 6.4273 2.3673
Ca 10.3295 10.0999 2.3673
Si 4.1318 4.1318 0.0000
Si 4.1318 8.2636 1.5782
```

***

Entry from Alexandria: an optimized crystal structure of CaCrSi2 (PBE).

Results
The calculation puts the total energy at -5.471 eV/atom. As for the symmetry: Fm-3m, No. 225. The crystal system is cubic. The raw formation energy is 0.6 eV per formula unit. For the density of states at the Fermi level, the calculation gives 2.58 states/eV per cell.

Cell and atoms, written as extended XYZ:
```
4
Lattice="-2.3519 -2.4953 -3.1553 -3.6894 1.8557 -2.1585 0.2607 1.1150 -4.5170" Properties=species:S:1:pos:R:3 pbc="T T T"
Cr -2.8903 0.2377 -4.9154
Ca 0.0000 0.0000 0.0000
Si -1.4451 0.1188 -2.4577
Si -4.3354 0.3565 -7.3731
```

***

Entry from Alexandria: an optimized crystal structure of CaCr2Si (PBE).

Results
The calculation puts the total energy at -6.092 eV/atom. As for the symmetry: Cmmm, No. 65. The crystal system is orthorhombic. The raw formation energy is 2.3 eV per formula unit. For the density of states at the Fermi level, the calculation gives 5.29 states/eV per cell.

Cell and atoms, written as extended XYZ:
```
4
Lattice="-0.1304 -1.4282 -2.2983 2.6765 0.0898 0.4091 -0.4446 -7.1739 4.4833" Properties=species:S:1:pos:R:3 pbc="T T T"
Ca 0.9396 -6.0496 2.4179
Cr -0.0232 -0.3737 0.2336
Cr -0.1991 -3.2132 2.0081
Si 1.1619 -2.4627 0.1762
```

***

Entry from Alexandria: an optimized crystal structure of CaCrSi2 (PBE).

Results
The calculation puts the total energy at -5.799 eV/atom. As for the symmetry: P4/mmm, No. 123. The crystal system is tetragonal. The raw formation energy is -0.7 eV per formula unit. For the density of states at the Fermi level, the calculation gives 2.53 states/eV per cell.

Cell and atoms, written as extended XYZ:
```
4
Lattice="3.0774 0.0000 0.0000 0.0000 3.0713 -0.0075 0.0000 3.0874 6.8757" Properties=species:S:1:pos:R:3 pbc="T T T"
Ca 1.5387 1.5397 1.7170
Cr 1.5387 4.6191 5.1511
Si 0.0000 3.0861 6.4085
Si 0.0000 3.0806 3.9012
```

***

Entry from Alexandria: an optimized crystal structure of Ca4CrSi (PBE).

Results
The calculation puts the total energy at -3.058 eV/atom. As for the symmetry: F-43m, No. 216. The crystal system is cubic. The raw formation energy is 4.7 eV per formula unit. For the density of states at the Fermi level, the calculation gives 5.59 states/eV per cell.

Cell and atoms, written as extended XYZ:
```
6
Lattice="-5.9078 -0.2416 2.6048 -5.1910 -0.5338 -3.8098 -3.3624 -5.5159 -0.1246" Properties=species:S:1:pos:R:3 pbc="T T T"
Ca -8.3812 -2.4775 0.8093
Ca -7.1037 -5.1246 -0.5605
Ca -8.0214 -2.6241 -2.4101
Ca -5.4161 -2.3562 -0.4980
Cr -10.8459 -4.7184 -0.9972
Si 0.0000 0.0000 0.0000
```

***

Entry from Alexandria: an optimized crystal structure of CaCr2Si (PBE).

Results
The calculation puts the total energy at -6.223 eV/atom. As for the symmetry: Fm-3m, No. 225. The crystal system is cubic. The raw formation energy is 1.8 eV per formula unit. For the density of states at the Fermi level, the calculation gives 3.43 states/eV per cell.

Cell and atoms, written as extended XYZ:
```
4
Lattice="-3.7501 -2.4464 -0.4628 -3.1674 0.1092 3.1966 -3.9332 2.0388 -0.7975" Properties=species:S:1:pos:R:3 pbc="T T T"
Cr -2.7127 -0.0746 0.4841
Cr -8.1380 -0.2238 1.4523
Ca -5.4253 -0.1492 0.9682
Si 0.0000 0.0000 0.0000
```

***

Entry from Alexandria: an optimized crystal structure of CaCr2Si2 (PBE).

Results
The calculation puts the total energy at -6.452 eV/atom. As for the symmetry: P4/mbm, No. 127. The crystal system is tetragonal. The raw formation energy is -0.2 eV per formula unit. For the density of states at the Fermi level, the calculation gives 4.92 states/eV per cell.

Cell and atoms, written as extended XYZ:
```
10
Lattice="7.4672 0.0000 0.0000 0.0000 7.4672 0.0000 0.0000 0.0000 2.6323" Properties=species:S:1:pos:R:3 pbc="T T T"
Cr 2.8108 6.5444 0.0000
Cr 6.5444 4.6564 0.0000
Cr 4.6564 0.9228 0.0000
Cr 0.9228 2.8108 0.0000
Ca 0.0000 0.0000 0.0000
Ca 3.7336 3.7336 0.0000
Si 1.2391 4.9727 1.3161
Si 4.9727 6.2282 1.3161
Si 6.2282 2.4945 1.3161
Si 2.4945 1.2391 1.3161
```

***

Entry from Alexandria: an optimized crystal structure of Ca2CrSi (PBE).

Results
The calculation puts the total energy at -4.738 eV/atom. As for the symmetry: Amm2, No. 38. The crystal system is orthorhombic. The raw formation energy is 0.1 eV per formula unit. For the density of states at the Fermi level, the calculation gives 2.43 states/eV per cell.

Cell and atoms, written as extended XYZ:
```
4
Lattice="4.3269 0.0000 0.0000 0.0000 4.4997 0.0089 0.0000 2.2387 5.4170" Properties=species:S:1:pos:R:3 pbc="T T T"
Ca 0.0000 6.4583 4.9243
Ca 2.1634 1.9648 1.8057
Cr 0.0000 4.2122 2.8236
Si 2.1634 4.2108 4.0109
```

***

Entry from Alexandria: an optimized crystal structure of CaCr2Si (PBE).

Results
The calculation puts the total energy at -6.157 eV/atom. As for the symmetry: R3m, No. 160. The crystal system is trigonal. The raw formation energy is 2.0 eV per formula unit. For the density of states at the Fermi level, the calculation gives 3.63 states/eV per cell.

Cell and atoms, written as extended XYZ:
```
4
Lattice="8.6678 0.0037 0.0022 8.1561 2.9342 0.0022 8.1561 1.4243 2.5654" Properties=species:S:1:pos:R:3 pbc="T T T"
Ca 6.2588 1.0930 0.6438
Cr 0.4427 0.0773 0.0455
Cr 18.6455 3.2560 1.9181
Si 12.1229 2.1170 1.2471
```

***

Entry from Alexandria: an optimized crystal structure of CaCr2Si (PBE).

Results
The calculation puts the total energy at -6.216 eV/atom. As for the symmetry: P2/m, No. 10. The crystal system is monoclinic. The raw formation energy is 1.8 eV per formula unit. For the density of states at the Fermi level, the calculation gives 2.16 states/eV per cell.

Cell and atoms, written as extended XYZ:
```
4
Lattice="-2.7544 -2.5586 -1.5074 1.4400 -0.0226 -2.5929 3.9209 -4.5480 0.5551" Properties=species:S:1:pos:R:3 pbc="T T T"
Ca 2.6435 -4.7073 -2.2820
Cr 0.3487 -0.2980 -0.1314
Cr 2.3318 -1.9873 -0.8875
Si -0.0370 -2.4219 -1.2631
```

***

Entry from Alexandria: an optimized crystal structure of Ca2CrSi (PBE).

Results
The calculation puts the total energy at -4.623 eV/atom. As for the symmetry: P4/mmm, No. 123. The crystal system is tetragonal. The raw formation energy is 0.6 eV per formula unit. For the density of states at the Fermi level, the calculation gives 1.13 states/eV per cell.

Cell and atoms, written as extended XYZ:
```
4
Lattice="-4.0955 -1.2640 -1.8303 0.5017 -4.2609 1.8203 -1.9957 1.2917 3.5736" Properties=species:S:1:pos:R:3 pbc="T T T"
Ca 0.0000 0.0000 0.0000
Ca -1.7969 -2.7625 -0.0050
Cr -3.0456 0.0139 0.8717
Si -0.7470 -1.4846 2.6970
```

***

Entry from Alexandria: an optimized crystal structure of CaCrSi (PBE).

Results
The calculation puts the total energy at -5.668 eV/atom. As for the symmetry: P-6m2, No. 187. The crystal system is hexagonal. The raw formation energy is 0.0 eV per formula unit. For the density of states at the Fermi level, the calculation gives 2.02 states/eV per cell.

Cell and atoms, written as extended XYZ:
```
3
Lattice="4.2991 0.0000 0.0000 -2.1495 3.7231 0.0000 0.0000 0.0000 4.2099" Properties=species:S:1:pos:R:3 pbc="T T T"
Ca 0.0000 0.0000 4.2093
Cr 2.1495 1.2410 2.1059
Si 0.0000 2.4821 2.1046
```

***

Entry from Alexandria: an optimized crystal structure of CaCr2Si (PBE).

Results
The calculation puts the total energy at -6.412 eV/atom. As for the symmetry: F-43m, No. 216. The crystal system is cubic. The raw formation energy is 1.0 eV per formula unit. For the density of states at the Fermi level, the calculation gives 1.61 states/eV per cell.

Cell and atoms, written as extended XYZ:
```
4
Lattice="4.6023 0.0000 0.0000 2.3012 3.9857 0.0000 2.3012 1.3286 3.7578" Properties=species:S:1:pos:R:3 pbc="T T T"
Ca 4.6023 2.6572 1.8789
Cr 0.0000 0.0000 0.0000
Cr 2.3012 1.3286 0.9394
Si 6.9035 3.9857 2.8183
```

***

Entry from Alexandria: an optimized crystal structure of CaCrSi2 (PBE).

Results
The calculation puts the total energy at -5.657 eV/atom. As for the symmetry: Imm2, No. 44. The crystal system is orthorhombic. The raw formation energy is -0.2 eV per formula unit. For the density of states at the Fermi level, the calculation gives 2.91 states/eV per cell.

Cell and atoms, written as extended XYZ:
```
4
Lattice="-1.1566 -5.9526 2.1315 2.6676 -3.5218 4.6686 -2.6271 5.5801 -1.8098" Properties=species:S:1:pos:R:3 pbc="T T T"
Ca 0.8123 -5.0935 3.6558
Cr 0.4388 -1.5956 3.3133
Si 1.3811 -8.6603 6.2158
Si -1.4820 -2.7565 2.0057
```

***

Entry from Alexandria: an optimized crystal structure of CaCrSi2 (PBE).

Results
The calculation puts the total energy at -5.811 eV/atom. As for the symmetry: C2/m, No. 12. The crystal system is monoclinic. The raw formation energy is -0.8 eV per formula unit. For the density of states at the Fermi level, the calculation gives 2.27 states/eV per cell.

Cell and atoms, written as extended XYZ:
```
4
Lattice="4.2767 0.0066 -0.0059 2.8812 3.1606 -0.0059 1.5070 0.6668 5.4381" Properties=species:S:1:pos:R:3 pbc="T T T"
Ca 6.4987 2.8755 4.0698
Cr 2.1662 0.9585 1.3566
Si 7.1689 3.1721 0.6042
Si 4.3214 1.9122 2.0973
```

***

Entry from Alexandria: an optimized crystal structure of CaCr2Si (PBE).

Results
The calculation puts the total energy at -6.556 eV/atom. As for the symmetry: P4mm, No. 99. The crystal system is tetragonal. The raw formation energy is 0.4 eV per formula unit. For the density of states at the Fermi level, the calculation gives 2.86 states/eV per cell.

Cell and atoms, written as extended XYZ:
```
4
Lattice="-1.0155 1.7480 -2.2881 -2.8556 -0.9212 0.5636 -3.7196 4.5601 5.1346" Properties=species:S:1:pos:R:3 pbc="T T T"
Ca -5.4281 3.5251 3.0650
Cr -2.9245 -0.4779 0.9328
Cr -2.1463 1.7533 0.2549
Si -3.2349 1.4845 2.5699
```

***

Entry from Alexandria: an optimized crystal structure of CaCr2Si (PBE).

Results
The calculation puts the total energy at -6.070 eV/atom. As for the symmetry: P4/mmm, No. 123. The crystal system is tetragonal. The raw formation energy is 2.4 eV per formula unit. For the density of states at the Fermi level, the calculation gives 3.84 states/eV per cell.

Cell and atoms, written as extended XYZ:
```
4
Lattice="-1.4028 0.3525 2.2033 -0.0542 -2.6071 0.3825 7.3242 0.5197 4.5799" Properties=species:S:1:pos:R:3 pbc="T T T"
Ca 4.7647 -0.7376 4.7278
Cr 0.3691 0.0262 0.2308
Cr 3.2930 0.2336 2.0591
Si 1.1026 -0.9974 2.4379
```